No. 1
## Ag2SO2 (GGA-PBE)

Data for a geometry-optimized Ag2SO2 structure.

a = 10.3169 Å, b = 9.8008 Å, c = 6.5607 Å
α = 75.29°, β = 66.76°, γ = 37.96°
Positions (direct):
Ag 0.1417 0.3191 0.3493
Ag 0.3101 0.6507 0.6809
Ag 0.3191 0.1417 0.6899
Ag 0.3493 0.6899 0.1417
Ag 0.6507 0.3101 0.8583
Ag 0.6809 0.8583 0.3101
Ag 0.6899 0.3493 0.3191
Ag 0.8583 0.6809 0.6507
S 0.0000 0.0000 0.0000
S 0.0000 0.0000 0.5000
S 0.0000 0.5000 0.0000
S 0.5000 0.0000 0.0000
O 0.0725 0.0989 0.4445
O 0.0989 0.0725 0.8841
O 0.1159 0.5555 0.9011
O 0.4445 0.8841 0.0725
O 0.5555 0.1159 0.9275
O 0.8841 0.4445 0.0989
O 0.9011 0.9275 0.1159
O 0.9275 0.9011 0.5555

Output
Raw formation energy   0.1613 eV per atom
Total magnetic moment   0.00 μB/f.u.

No. 2
## AgSO3 (GGA-PBE)

Data for a geometry-optimized AgSO3 structure.

a = 3.9720 Å, b = 3.9720 Å, c = 3.9720 Å
α = 90.00°, β = 90.00°, γ = 90.00°
Positions (direct):
Ag 0.0000 0.0000 0.0000
S 0.5000 0.5000 0.5000
O 0.0000 0.0000 0.5000
O 0.0000 0.5000 0.0000
O 0.5000 0.0000 0.0000

Output
Raw formation energy   1.0557 eV per atom
Total magnetic moment   0.00 μB/f.u.

What is the raw formation energy in the first record?
0.1613 eV per atom